[1]
Dy3YTm2Bi6 (PBE, optimized geometry); formation energy from the elements = -840 meV per atom; calculated total energy = -5.215 eV per atom
1.0
-3.093 0.201 -3.210
1.827 -8.433 -2.289
-5.451 -1.081 8.286
Dy Bi Tm Y
3 6 2 1
Direct
0.500 0.500 0.000 Dy
0.166 0.833 0.332 Dy
0.834 0.167 0.668 Dy
0.667 0.581 0.335 Bi
0.333 0.914 0.666 Bi
0.667 0.086 0.334 Bi
0.333 0.419 0.665 Bi
0.999 0.749 0.998 Bi
0.001 0.251 0.002 Bi
0.167 0.333 0.334 Tm
0.833 0.667 0.666 Tm
0.500 0.000 0.000 Y

---

[2]
CePm3Ho12 (PBE, optimized geometry); formation energy from the elements = 32 meV per atom; calculated total energy = -4.663 eV per atom
1.0
5.016 0.000 0.000
0.000 5.016 0.000
0.000 0.000 20.065
Pm Ho Ce
3 12 1
Direct
0.000 0.000 0.500 Pm
0.000 0.000 0.248 Pm
0.000 0.000 0.752 Pm
0.000 0.500 0.374 Ho
0.000 0.500 0.123 Ho
0.500 0.000 0.123 Ho
0.500 0.000 0.877 Ho
0.000 0.500 0.626 Ho
0.500 0.500 0.000 Ho
0.000 0.500 0.877 Ho
0.500 0.500 0.750 Ho
0.500 0.000 0.374 Ho
0.500 0.500 0.250 Ho
0.500 0.000 0.626 Ho
0.500 0.500 0.500 Ho
0.000 0.000 0.000 Ce

---

[3]
TiGe3Ru4 (PBE, optimized geometry); formation energy from the elements = -455 meV per atom; calculated total energy = -7.811 eV per atom
1.0
4.154 0.000 -1.121
-0.298 4.148 -1.105
-0.399 -0.458 6.778
Ru Ge Ti
4 3 1
Direct
0.873 0.873 0.746 Ru
0.627 0.627 0.254 Ru
0.373 0.373 0.746 Ru
0.127 0.127 0.254 Ru
0.000 0.500 0.000 Ge
0.253 0.753 0.506 Ge
0.747 0.247 0.494 Ge
0.500 0.000 0.000 Ti

---

[4]
PmPaSi2 (PBE, optimized geometry); formation energy from raw total energies = -0.4649 eV/atom; calculated total energy = -6.738 eV per atom
1.0
4.166 0.000 0.000
2.083 3.608 0.000
2.083 1.203 6.780
Pa Pm Si
1 1 2
Direct
0.500 0.500 0.500 Pa
0.000 0.000 0.000 Pm
0.756 0.756 0.732 Si
0.244 0.244 0.268 Si

---

[5]
Ba2AcIn3Hg12 (PBE, optimized geometry); formation energy from the elements = -149 meV per atom; calculated total energy = -1.248 eV per atom
1.0
-12.330 4.059 -4.395
-13.020 -2.946 -3.101
-13.399 1.743 2.292
In Ba Hg Ac
3 2 12 1
Direct
0.000 0.500 0.000 In
0.000 0.000 0.500 In
0.500 0.000 0.000 In
0.636 0.636 0.636 Ba
0.364 0.364 0.364 Ba
0.408 0.841 0.408 Hg
0.878 0.420 0.878 Hg
0.592 0.592 0.159 Hg
0.841 0.408 0.408 Hg
0.878 0.878 0.420 Hg
0.408 0.408 0.841 Hg
0.122 0.122 0.580 Hg
0.592 0.159 0.592 Hg
0.159 0.592 0.592 Hg
0.122 0.580 0.122 Hg
0.420 0.878 0.878 Hg
0.580 0.122 0.122 Hg
0.000 0.000 0.000 Ac

---

[6]
HfMg3N (PBE, optimized geometry); formation energy from raw total energies = 0.1813 eV/atom; calculated total energy = -4.431 eV per atom
1.0
4.431 0.000 0.000
0.000 4.431 0.000
0.000 0.000 4.431
N Mg Hf
1 3 1
Direct
0.000 0.000 0.000 N
0.500 0.000 0.000 Mg
0.000 0.500 0.000 Mg
0.000 0.000 0.500 Mg
0.500 0.500 0.500 Hf

---

[7]
TaP2W (PBE, optimized geometry); formation energy from the elements = -269 meV per atom; calculated total energy = -9.175 eV per atom
1.0
-4.260 0.599 1.911
-1.312 -0.054 -2.907
-0.447 -4.057 0.276
P W Ta
2 1 1
Direct
0.500 0.375 0.275 P
0.000 0.875 0.977 P
0.500 0.875 0.757 W
0.000 0.375 0.492 Ta

---

[8]
RbLiSbSe2 (PBE, optimized geometry); formation energy from raw total energies = -0.7437 eV/atom; calculated total energy = -3.538 eV per atom
1.0
-3.944 1.185 0.287
-1.128 -1.895 -7.675
-2.242 -8.019 2.310
Se Li Sb Rb
4 2 2 2
Direct
0.500 0.238 0.500 Se
0.500 0.762 0.500 Se
0.500 0.238 0.000 Se
0.500 0.762 0.000 Se
0.000 0.000 0.500 Li
0.000 0.000 0.000 Li
0.500 0.000 0.750 Sb
0.500 0.000 0.250 Sb
0.999 0.500 0.250 Rb
0.001 0.500 0.750 Rb

---

[9]
KRb2In3Cl6 (PBE, optimized geometry); formation energy from raw total energies = -1.3676 eV/atom; calculated total energy = -3.228 eV per atom
1.0
-3.885 2.399 0.740
-2.555 -6.112 6.404
7.138 5.563 4.977
Rb Cl In K
2 6 3 1
Direct
0.834 0.673 0.667 Rb
0.166 0.327 0.333 Rb
0.336 0.418 0.672 Cl
0.004 0.758 0.008 Cl
0.660 0.069 0.320 Cl
0.340 0.931 0.680 Cl
0.996 0.242 0.992 Cl
0.664 0.582 0.328 Cl
0.837 0.167 0.675 In
0.500 0.500 0.000 In
0.163 0.833 0.325 In
0.500 0.000 0.000 K

---

[10]
PaGaCo3H6 (PBE, optimized geometry); calculated total energy = -5.070 eV per atom
1.0
-3.835 2.205 1.222
-1.202 -3.349 2.899
2.383 1.889 3.437
Pa H Co Ga
1 6 3 1
Direct
0.594 0.406 0.594 Pa
0.541 0.907 0.712 H
0.712 0.459 0.093 H
0.093 0.288 0.541 H
0.015 0.695 0.524 H
0.305 0.476 0.015 H
0.524 0.985 0.305 H
0.507 0.760 0.030 Co
0.030 0.493 0.240 Co
0.240 0.970 0.507 Co
0.009 0.991 0.009 Ga

---

[11]
Ta2TlSiF (PBE, optimized geometry); formation energy from raw total energies = 1.5474 eV/atom; calculated total energy = -5.126 eV per atom
1.0
5.241 0.000 0.000
0.000 4.299 0.000
0.000 0.000 5.241
Ta Si F Tl
2 1 1 1
Direct
0.500 0.000 0.000 Ta
0.000 0.000 0.500 Ta
0.500 0.500 0.500 Si
0.000 0.500 0.000 F
0.000 0.000 0.000 Tl

---

[12]
Tb3Dy8Er4 (PBE, optimized geometry); formation energy from the elements = 406 meV per atom; calculated total energy = -4.191 eV per atom
1.0
6.690 -0.098 -0.141
-3.179 8.538 1.146
-3.179 -1.889 8.405
Dy Tb Er
8 3 4
Direct
0.000 0.358 0.642 Dy
0.985 0.738 0.738 Dy
0.455 0.731 0.731 Dy
0.000 0.642 0.358 Dy
0.015 0.262 0.262 Dy
0.500 0.251 0.749 Dy
0.500 0.749 0.251 Dy
0.545 0.269 0.269 Dy
0.500 0.500 0.500 Tb
0.500 0.000 0.500 Tb
0.500 0.500 0.000 Tb
0.500 0.000 0.000 Er
0.000 0.000 0.000 Er
0.000 0.500 0.000 Er
0.000 0.000 0.500 Er